Record 1
Below is a relaxed Cd2Ni2Sb crystal, with properties calculated at the PBE level.

```
Cd2Ni2Sb
1.0
3.360 0.000 0.000
0.000 3.360 0.000
1.680 1.680 8.835
Ni Cd Sb
2 2 1
direct
0.250 0.750 0.500
0.750 0.250 0.500
0.630 0.630 0.741
0.370 0.370 0.259
0.000 0.000 0.000
```

Values from the calculation:
- E_form (uncorrected): 249 meV/atom
- Energy relative to the lowest polymorph listed for this composition: 238 meV/atom
- Theoretical density: 7.724 g/cm³
- Volume: 99.7 Å³ per cell
- Raw total energy: -3.2544 eV/atom

=====

Record 2
Below is a relaxed TcSe2I crystal, with properties calculated at the PBE level.

```
TcSe2I
1.0
2.180 0.000 8.395
-1.090 1.888 8.395
-1.090 -1.888 8.395
Tc Se I
1 2 1
direct
0.500 0.500 0.500
0.887 0.887 0.887
0.113 0.113 0.113
0.000 0.000 0.000
```

Values from the calculation:
- E_form (uncorrected): -9 meV/atom
- Energy relative to the lowest polymorph listed for this composition: 199 meV/atom
- Theoretical density: 6.136 g/cm³
- Volume: 103.6 Å³ per cell
- Raw total energy: -4.7307 eV/atom